VASP calculation (PBE) on a geometry-optimized Ca2AsHRh structure.

## Properties
DOS at the Fermi energy   0.56 states/eV per atom
Magnetization   0.000 μB/atom
SG   P4/mmm (123)
VASP energy   -4.539 eV per atom

Cell and atoms, written as CIF:
```
data_Ca2AsHRh
_cell_length_a 4.879
_cell_length_b 4.879
_cell_length_c 3.727
_cell_angle_alpha 90.00
_cell_angle_beta 90.00
_cell_angle_gamma 90.00
_symmetry_space_group_name_H-M 'P 1'
_symmetry_Int_Tables_number 1
loop_
_symmetry_equiv_pos_as_xyz
'x,y,z'
loop_
_atom_site_label
_atom_site_fract_x
_atom_site_fract_y
_atom_site_fract_z
Ca1 0.000 0.500 0.000
Ca2 0.500 0.000 0.000
As1 0.000 0.000 0.500
H1 0.500 0.500 0.000
Rh1 0.500 0.500 0.500
```